Entry 1:
Density functional theory data (PBE) for a relaxed structure of Dy6ErTm12.

Computed properties:
N(E_F) = 82.18 states/eV/cell
Offset from the most stable computed form = 0.000 eV per atom
Electronic total energy = -4.392 eV per atom

a b c (Å): 10.8806 10.8806 17.1186
angles (deg): 90.00 90.00 120.00
Space group R-3m (No. 166, hexagonal axes)
Asymmetric unit:
Dy  0.0716  0.5358  0.2673 x18
Er  0.0000  0.0000  0.5000 x3
Tm  0.0988  0.5494  0.9139 x18
Tm  0.1063  0.2126  0.9081 x18

***

Entry 2:
Density functional theory data (PBE) for a relaxed structure of Dy4ErTm3.

Computed properties:
N(E_F) = 26.21 states/eV/cell
Offset from the most stable computed form = 0.000 eV per atom
Electronic total energy = -4.546 eV per atom

a b c (Å): 11.112 7.188 6.215
angles (deg): 90.00 90.00 90.00
Space group Pmn2_1 (No. 31)
Asymmetric unit:
Dy  0.000  0.126  0.000 x2
Dy  0.000  0.873  0.501 x2
Dy  0.250  0.126  0.334 x4
Er  0.000  0.624  0.001 x2
Tm  0.000  0.376  0.501 x2
Tm  0.250  0.376  0.834 x4

***

Entry 3:
Density functional theory data (PBE) for a relaxed structure of Dy2Er3Tm7.

Computed properties:
N(E_F) = 35.86 states/eV/cell
Offset from the most stable computed form = 0.033 eV per atom
Electronic total energy = -4.400 eV per atom

a b c (Å): 5.586 37.039 3.548
angles (deg): 90.00 90.00 90.00
Space group Cmmm (No. 65)
Asymmetric unit:
Dy  0.000  0.147  0.000 x4
Er  0.000  0.315  0.500 x4
Er  0.000  0.500  0.500 x2
Tm  0.000  0.000  0.000 x2
Tm  0.000  0.071  0.500 x4
Tm  0.000  0.231  0.000 x4
Tm  0.000  0.409  0.000 x4

***

Entry 4:
Density functional theory data (PBE) for a relaxed structure of Dy3Er3Tm2.

Computed properties:
N(E_F) = 21.66 states/eV/cell
Offset from the most stable computed form = 0.000 eV per atom
Electronic total energy = -4.532 eV per atom

a b c (Å): 4.957 4.959 19.850
angles (deg): 90.00 90.00 90.00
Space group Immm (No. 71)
Asymmetric unit:
Dy  0.000  0.000  0.000 x2
Dy  0.000  0.500  0.125 x4
Er  0.000  0.000  0.500 x2
Er  0.000  0.500  0.374 x4
Tm  0.000  0.000  0.250 x4

***

Entry 5:
Density functional theory data (PBE) for a relaxed structure of DyEr8Tm2.

Computed properties:
N(E_F) = 28.40 states/eV/cell
Offset from the most stable computed form = 0.000 eV per atom
Electronic total energy = -4.388 eV per atom

a b c (Å): 8.988 16.457 5.827
angles (deg): 90.00 127.27 90.00
Space group C2/m (No. 12)
Asymmetric unit:
Dy  0.000  0.000  0.000 x2
Er  0.000  0.203  0.000 x4
Er  0.047  0.500  0.783 x4
Er  0.223  0.126  0.704 x8
Tm  0.000  0.311  0.500 x4

***

Entry 6:
Density functional theory data (PBE) for a relaxed structure of Dy3ErTm6.

Computed properties:
N(E_F) = 61.71 states/eV/cell
Offset from the most stable computed form = 0.000 eV per atom
Electronic total energy = -4.396 eV per atom

a b c (Å): 9.446 20.700 6.279
angles (deg): 90.00 90.00 90.00
Space group Cmc2_1 (No. 36)
Asymmetric unit:
Dy  0.000  0.079  0.000 x4
Dy  0.169  0.372  0.396 x8
Er  0.000  0.338  0.923 x4
Tm  0.000  0.198  0.694 x4
Tm  0.000  0.486  0.726 x4
Tm  0.177  0.219  0.236 x8
Tm  0.183  0.061  0.473 x8

***

Entry 7:
Density functional theory data (PBE) for a relaxed structure of Dy2Er7Tm2.

Computed properties:
N(E_F) = 33.64 states/eV/cell
Offset from the most stable computed form = 0.003 eV per atom
Electronic total energy = -4.386 eV per atom

a b c (Å): 11.000 11.364 5.954
angles (deg): 90.00 113.29 90.00
Space group C2/m (No. 12)
Asymmetric unit:
Dy  0.000  0.215  0.000 x4
Er  0.000  0.000  0.500 x2
Er  0.174  0.236  0.675 x8
Er  0.232  0.000  0.085 x4
Tm  0.090  0.500  0.304 x4

***

Entry 8:
Density functional theory data (PBE) for a relaxed structure of Dy6Er2Tm5.

Computed properties:
N(E_F) = 30.52 states/eV/cell
Electronic total energy = -4.444 eV per atom

a b c (Å): 11.493 19.941 3.539
angles (deg): 90.00 90.00 90.00
Space group Pbam (No. 55)
Asymmetric unit:
Dy  0.059  0.081  0.000 x4
Dy  0.084  0.368  0.000 x4
Dy  0.171  0.635  0.500 x4
Er  0.165  0.790  0.000 x4
Tm  0.000  0.500  0.500 x2
Tm  0.092  0.226  0.500 x4
Tm  0.198  0.949  0.500 x4

***

Entry 9:
Density functional theory data (PBE) for a relaxed structure of DyEr3Tm7.

Computed properties:
N(E_F) = 17.72 states/eV/cell
Offset from the most stable computed form = 0.037 eV per atom
Electronic total energy = -4.309 eV per atom

a b c (Å): 6.9328 6.9328 8.4598
angles (deg): 90.00 90.00 120.00
Space group P3m1 (No. 156)
Asymmetric unit:
Dy  0.0000  0.0000  0.0000 x1
Er  0.3337  0.1668  0.6639 x3
Tm  0.1656  0.3311  0.3297 x3
Tm  0.5011  0.0023  0.9997 x3
Tm  0.6667  0.3333  0.3289 x1

***

Entry 10:
Density functional theory data (PBE) for a relaxed structure of Dy8ErTm4.

Computed properties:
N(E_F) = 45.65 states/eV/cell
Electronic total energy = -4.334 eV per atom

a b c (Å): 7.1742 7.1742 27.3848
angles (deg): 90.00 90.00 120.00
Space group R-3m (No. 166, hexagonal axes)
Asymmetric unit:
Dy  0.0000  0.0000  0.2146 x6
Dy  0.0330  0.5165  0.7657 x18
Er  0.0000  0.0000  0.5000 x3
Tm  0.0000  0.0000  0.0000 x3
Tm  0.0000  0.5000  0.0000 x9

***

Entry 11:
Density functional theory data (PBE) for a relaxed structure of Dy3Er2Tm2.

Computed properties:
N(E_F) = 25.94 states/eV/cell
Offset from the most stable computed form = 0.027 eV per atom
Electronic total energy = -4.505 eV per atom

a b c (Å): 23.208 5.387 3.500
angles (deg): 90.00 98.64 90.00
Space group C2/m (No. 12)
Asymmetric unit:
Dy  0.000  0.000  0.000 x2
Dy  0.224  0.500  0.224 x4
Er  0.079  0.500  0.580 x4
Tm  0.142  0.000  0.143 x4

***

Entry 12:
Density functional theory data (PBE) for a relaxed structure of Dy4Er19Tm6.

Computed properties:
N(E_F) = 89.65 states/eV/cell
Electronic total energy = -4.151 eV per atom

a b c (Å): 12.313 12.313 12.313
angles (deg): 90.00 90.00 90.00
Space group I23 (No. 197)
Asymmetric unit:
Dy  0.178  0.178  0.178 x8
Er  0.000  0.000  0.000 x2
Er  0.000  0.000  0.264 x12
Er  0.064  0.276  0.736 x24
Tm  0.000  0.128  0.500 x12

***

Entry 13:
Density functional theory data (PBE) for a relaxed structure of DyEr5Tm8.

Computed properties:
N(E_F) = 41.06 states/eV/cell
Electronic total energy = -4.255 eV per atom

a b c (Å): 9.404 9.404 9.930
angles (deg): 90.00 90.00 90.00
Space group I-4 (No. 82)
Asymmetric unit:
Dy  0.000  0.000  0.000 x2
Er  0.000  0.500  0.750 x2
Er  0.113  0.711  0.326 x8
Tm  0.071  0.824  0.655 x8
Tm  0.090  0.671  0.998 x8

***

Entry 14:
Density functional theory data (PBE) for a relaxed structure of Dy2ErTm6.

Computed properties:
N(E_F) = 22.83 states/eV/cell
Offset from the most stable computed form = 0.000 eV per atom
Electronic total energy = -4.485 eV per atom

a b c (Å): 10.477 10.477 4.952
angles (deg): 90.00 90.00 90.00
Space group P4_2/mnm (No. 136)
Asymmetric unit:
Dy  0.167  0.167  0.000 x4
Er  0.000  0.000  0.500 x2
Tm  0.000  0.334  0.500 x8
Tm  0.167  0.833  0.000 x4

***

Entry 15:
Density functional theory data (PBE) for a relaxed structure of Dy4Er4Tm3.

Computed properties:
N(E_F) = 20.86 states/eV/cell
Offset from the most stable computed form = 0.000 eV per atom
Electronic total energy = -4.489 eV per atom

a b c (Å): 3.478 5.522 17.815
angles (deg): 81.13 84.41 90.00
Space group P-1 (No. 2)
Asymmetric unit:
Dy  0.090  0.090  0.320 x2
Dy  0.233  0.733  0.034 x2
Er  0.045  0.545  0.409 x2
Er  0.179  0.180  0.140 x2
Tm  0.364  0.364  0.773 x2
Tm  0.500  0.000  0.500 x1

***

Entry 16:
Density functional theory data (PBE) for a relaxed structure of Dy3Er2Tm9.

Computed properties:
N(E_F) = 21.44 states/eV/cell
Electronic total energy = -4.401 eV per atom

a b c (Å): 6.327 6.436 11.402
angles (deg): 105.43 103.45 94.26
Space group P1 (No. 1)
Asymmetric unit:
Dy  0.000  0.000  0.000 x1
Dy  0.115  0.831  0.493 x1
Dy  0.339  0.651  0.989 x1
Er  0.465  0.309  0.597 x1
Er  0.901  0.270  0.417 x1
Tm  0.022  0.621  0.707 x1
Tm  0.143  0.452  0.211 x1
Tm  0.149  0.170  0.779 x1
Tm  0.336  0.005  0.285 x1
Tm  0.559  0.870  0.762 x1
Tm  0.561  0.224  0.096 x1
Tm  0.587  0.670  0.443 x1
Tm  0.784  0.451  0.911 x1
Tm  0.789  0.785  0.203 x1

***

Entry 17:
Density functional theory data (PBE) for a relaxed structure of Dy5Er2Tm4.

Computed properties:
N(E_F) = 36.40 states/eV/cell
Offset from the most stable computed form = 0.000 eV per atom
Electronic total energy = -4.404 eV per atom

a b c (Å): 10.877 7.229 9.111
angles (deg): 90.00 107.23 90.00
Space group C2/m (No. 12)
Asymmetric unit:
Dy  0.000  0.000  0.000 x2
Dy  0.068  0.279  0.277 x8
Er  0.146  0.000  0.620 x4
Tm  0.168  0.500  0.621 x4
Tm  0.184  0.500  0.000 x4

***

Entry 18:
Density functional theory data (PBE) for a relaxed structure of Dy7Er3Tm2.

Computed properties:
N(E_F) = 15.30 states/eV/cell
Offset from the most stable computed form = 0.013 eV per atom
Electronic total energy = -4.479 eV per atom

a b c (Å): 5.720 3.535 18.475
angles (deg): 90.00 93.59 90.00
Space group P2/m (No. 10)
Asymmetric unit:
Dy  0.000  0.000  0.000 x1
Dy  0.184  0.500  0.181 x2
Dy  0.258  0.500  0.536 x2
Dy  0.319  0.000  0.856 x2
Er  0.219  0.000  0.367 x2
Er  0.500  0.500  0.000 x1
Tm  0.293  0.500  0.705 x2